This record from Alexandria describes an optimized crystal structure of KSi3Ir. The functional is PBE.

a = 4.8096 Å, b = 4.8096 Å, c = 4.8096 Å
α = 90.00°, β = 90.00°, γ = 90.00°
With the nearest neighbours (Å) after each atom.
Fractional positions:
K1 0.0000 0.0000 0.0000  12 Si 3.40
Si1 0.0000 0.5000 0.5000  2 Ir 2.40
Si2 0.5000 0.0000 0.5000  2 Ir 2.40
Si3 0.5000 0.5000 0.0000  2 Ir 2.40
Ir1 0.5000 0.5000 0.5000  6 Si 2.40

Values from the calculation:
Its energy above the most stable polymorph in this dataset is 0.0000 eV per atom. The calculation puts the uncorrected formation energy at 445 meV per atom. As for the calculated density: 4.7 g/cm3. For the size of the total moment, the calculation gives 1.31 μB/f.u. As for the space group: Pm-3m (221).

***

This record from Alexandria describes an optimized crystal structure of K2SiIr. The functional is PBE.

a = 2.8344 Å, b = 2.8344 Å, c = 10.8905 Å
α = 90.00°, β = 90.00°, γ = 90.00°
With the nearest neighbours (Å) after each atom.
Fractional positions:
K1 0.0000 0.0000 0.2419  4 K 2.83
K2 0.0000 0.0000 0.7581  4 K 2.83
Si1 0.5000 0.5000 0.5000  4 Si 2.83
Ir1 0.5000 0.5000 0.0000  4 Ir 2.83

Values from the calculation:
The calculation puts the uncorrected formation energy at 770 meV per atom. As for the calculated density: 5.7 g/cm3. For the size of the total moment, the calculation gives 0.00 μB/f.u. As for the space group: P4/mmm (123).

***

This record from Alexandria describes an optimized crystal structure of K2SiIr. The functional is PBE.

a = 6.8772 Å, b = 4.1249 Å, c = 9.8740 Å
α = 90.00°, β = 102.71°, γ = 90.00°
With the nearest neighbours (Å) after each atom.
Fractional positions:
K1 0.0000 0.0000 0.0000  3 Ir 3.41-3.49, 3 Si 3.43-3.48
K2 0.1664 0.0000 0.5303  3 Ir 3.42-3.49, 3 Si 3.42-3.48
K3 0.5000 0.5000 0.0000  3 Ir 3.41-3.49, 3 Si 3.43-3.48
K4 0.6664 0.5000 0.5303  3 Ir 3.42-3.49, 3 Si 3.42-3.48
Si1 0.2513 0.5000 0.2652  3 Ir 2.33-2.34
Si2 0.7513 0.0000 0.2652  3 Ir 2.33-2.34
Ir1 0.4124 0.0000 0.2651  3 Si 2.33-2.34
Ir2 0.9124 0.5000 0.2651  3 Si 2.33-2.34

Values from the calculation:
The calculation puts the uncorrected formation energy at -144 meV per atom. As for the calculated density: 3.6 g/cm3. For the size of the total moment, the calculation gives 0.00 μB/f.u. As for the space group: Cm (8).

***

This record from Alexandria describes an optimized crystal structure of KSiIr3. The functional is PBE.

a = 4.7140 Å, b = 4.7140 Å, c = 4.7140 Å
α = 90.00°, β = 90.00°, γ = 90.00°
With the nearest neighbours (Å) after each atom.
Fractional positions:
K1 0.0000 0.0000 0.0000  6 Ir 2.36
Si1 0.5000 0.5000 0.5000  12 Ir 3.33
Ir1 0.0000 0.0000 0.5000  2 K 2.36
Ir2 0.0000 0.5000 0.0000  2 K 2.36
Ir3 0.5000 0.0000 0.0000  2 K 2.36

Values from the calculation:
Its energy above the most stable polymorph in this dataset is 2.5116 eV per atom. The calculation puts the uncorrected formation energy at 3182 meV per atom. As for the calculated density: 10.2 g/cm3. For the size of the total moment, the calculation gives 1.03 μB/f.u. As for the space group: Pm-3m (221).

***

This record from Alexandria describes an optimized crystal structure of KSi2Ir. The functional is PBE.

a = 7.9181 Å, b = 2.9765 Å, c = 7.8651 Å
α = 90.00°, β = 115.90°, γ = 90.00°
With the nearest neighbours (Å) after each atom.
Fractional positions:
K1 0.0000 0.0000 0.0000  2 K 2.98, 1 Si 3.27
K2 0.5000 0.5000 0.0000  2 K 2.98, 1 Si 3.27
Si1 0.1216 0.0000 0.6439  3 Ir 2.50, 2 Si 2.63
Si2 0.4228 0.0000 0.3484  3 Ir 2.48, 2 Si 2.63
Si3 0.6216 0.5000 0.6439  3 Ir 2.50, 2 Si 2.63
Si4 0.9228 0.5000 0.3484  3 Ir 2.48, 2 Si 2.63
Ir1 0.2707 0.5000 0.4926  6 Si 2.48-2.50
Ir2 0.7707 0.0000 0.4926  6 Si 2.48-2.50

Values from the calculation:
Its energy above the most stable polymorph in this dataset is 0.1055 eV per atom. The calculation puts the uncorrected formation energy at -178 meV per atom. As for the calculated density: 5.7 g/cm3. For the size of the total moment, the calculation gives 0.00 μB/f.u. As for the space group: Cm (8).

***

This record from Alexandria describes an optimized crystal structure of K2SiIr. The functional is PBE.

a = 7.0910 Å, b = 7.0910 Å, c = 7.0910 Å
α = 90.00°, β = 90.00°, γ = 90.00°
With the nearest neighbours (Å) after each atom.
Fractional positions:
K1 0.0000 0.0000 0.0000  4 K 3.07, 4 Si 3.07
K2 0.0000 0.5000 0.5000  4 K 3.07, 4 Si 3.07
K3 0.2500 0.2500 0.2500  4 K 3.07, 4 Ir 3.07
K4 0.2500 0.7500 0.7500  4 K 3.07, 4 Ir 3.07
K5 0.5000 0.0000 0.5000  4 K 3.07, 4 Si 3.07
K6 0.5000 0.5000 0.0000  4 K 3.07, 4 Si 3.07
K7 0.7500 0.2500 0.7500  4 K 3.07, 4 Ir 3.07
K8 0.7500 0.7500 0.2500  4 K 3.07, 4 Ir 3.07
Si1 0.2500 0.2500 0.7500  4 K 3.07, 4 Ir 3.07
Si2 0.2500 0.7500 0.2500  4 K 3.07, 4 Ir 3.07
Si3 0.7500 0.2500 0.2500  4 K 3.07, 4 Ir 3.07
Si4 0.7500 0.7500 0.7500  4 Ir 3.07, 4 K 3.07
Ir1 0.0000 0.0000 0.5000  4 K 3.07, 4 Si 3.07
Ir2 0.0000 0.5000 0.0000  4 K 3.07, 4 Si 3.07
Ir3 0.5000 0.0000 0.0000  4 K 3.07, 4 Si 3.07
Ir4 0.5000 0.5000 0.5000  4 K 3.07, 4 Si 3.07

Values from the calculation:
The calculation puts the uncorrected formation energy at 770 meV per atom. As for the calculated density: 5.6 g/cm3. For the size of the total moment, the calculation gives 0.00 μB/f.u. As for the space group: F-43m (216).

***

This record from Alexandria describes an optimized crystal structure of K2SiIr. The functional is PBE.

a = 3.0323 Å, b = 3.5671 Å, c = 10.2028 Å
α = 90.00°, β = 90.00°, γ = 90.00°
With the nearest neighbours (Å) after each atom.
Fractional positions:
K1 0.0000 0.0000 0.0000  2 K 3.03, 1 Ir 3.31
K2 0.5000 0.5000 0.4314  2 K 3.03, 1 Si 3.34
Si1 0.5000 0.5000 0.7585  4 Ir 2.49
Ir1 0.0000 0.0000 0.6755  4 Si 2.49

Values from the calculation:
The calculation puts the uncorrected formation energy at 50 meV per atom. As for the calculated density: 4.5 g/cm3. For the size of the total moment, the calculation gives 0.00 μB/f.u. As for the space group: Pmm2 (25).

***

This record from Alexandria describes an optimized crystal structure of KSi2Ir. The functional is PBE.

a = 5.9557 Å, b = 5.9557 Å, c = 13.3610 Å
α = 90.00°, β = 90.00°, γ = 90.00°
With the nearest neighbours (Å) after each atom.
Fractional positions:
K1 0.0000 0.2500 0.3750  8 Si 3.72
K2 0.0000 0.7500 0.6250  8 Si 3.72
K3 0.5000 0.2500 0.1250  8 Si 3.72
K4 0.5000 0.7500 0.8750  8 Si 3.72
Si1 0.0000 0.0000 0.0000  2 Ir 2.24
Si2 0.0000 0.5000 0.0000  2 Ir 2.24
Si3 0.2500 0.2500 0.7500  2 Ir 2.24
Si4 0.2500 0.7500 0.2500  2 Ir 2.24
Si5 0.5000 0.0000 0.5000  2 Ir 2.24
Si6 0.5000 0.5000 0.5000  2 Ir 2.24
Si7 0.7500 0.2500 0.7500  2 Ir 2.24
Si8 0.7500 0.7500 0.2500  2 Ir 2.24
Ir1 0.0000 0.2500 0.8750  4 Si 2.24
Ir2 0.0000 0.7500 0.1250  4 Si 2.24
Ir3 0.5000 0.2500 0.6250  4 Si 2.24
Ir4 0.5000 0.7500 0.3750  4 Si 2.24

Values from the calculation:
Its energy above the most stable polymorph in this dataset is 0.0878 eV per atom. The calculation puts the uncorrected formation energy at -195 meV per atom. As for the calculated density: 4.0 g/cm3. For the size of the total moment, the calculation gives 0.00 μB/f.u. As for the space group: I4_1/amd (141).

***

This record from Alexandria describes an optimized crystal structure of KSi2Ir2. The functional is PBE.

a = 4.1358 Å, b = 4.1358 Å, c = 11.0979 Å
α = 90.00°, β = 90.00°, γ = 90.00°
With the nearest neighbours (Å) after each atom.
Fractional positions:
K1 0.0000 0.0000 0.0000  8 Si 3.32, 8 Ir 3.46
K2 0.5000 0.5000 0.5000  8 Si 3.32, 8 Ir 3.46
Si1 0.0000 0.0000 0.3586  4 Ir 2.39
Si2 0.0000 0.0000 0.6414  4 Ir 2.39
Si3 0.5000 0.5000 0.1414  4 Ir 2.39
Si4 0.5000 0.5000 0.8586  4 Ir 2.39
Ir1 0.0000 0.5000 0.2500  4 Si 2.39
Ir2 0.0000 0.5000 0.7500  4 Si 2.39
Ir3 0.5000 0.0000 0.2500  4 Si 2.39
Ir4 0.5000 0.0000 0.7500  4 Si 2.39

Values from the calculation:
Its energy above the most stable polymorph in this dataset is 0.0000 eV per atom. The calculation puts the uncorrected formation energy at -480 meV per atom. As for the calculated density: 8.4 g/cm3. For the size of the total moment, the calculation gives 0.00 μB/f.u. As for the space group: I4/mmm (139).

***

This record from Alexandria describes an optimized crystal structure of K4SiIr. The functional is PBE.

a = 6.3056 Å, b = 6.3056 Å, c = 6.3056 Å
α = 60.00°, β = 60.00°, γ = 60.00°
With the nearest neighbours (Å) after each atom.
Fractional positions:
K1 0.1254 0.1254 0.1254  6 K 3.14-3.16
K2 0.1254 0.1254 0.6237  6 K 3.14-3.16
K3 0.1254 0.6237 0.1254  6 K 3.14-3.16
K4 0.6237 0.1254 0.1254  6 K 3.14-3.16
Si1 0.7500 0.7500 0.7500  12 K 3.70, 4 Ir 3.86
Ir1 0.5000 0.5000 0.5000  12 K 3.70, 4 Si 3.86

Values from the calculation:
The calculation puts the uncorrected formation energy at 1113 meV per atom. As for the calculated density: 3.5 g/cm3. For the size of the total moment, the calculation gives 0.94 μB/f.u. As for the space group: F-43m (216).

***

This record from Alexandria describes an optimized crystal structure of KSi2Ir. The functional is PBE.

a = 4.1520 Å, b = 4.1520 Å, c = 4.1410 Å
α = 90.00°, β = 90.00°, γ = 90.00°
With the nearest neighbours (Å) after each atom.
Fractional positions:
K1 0.0000 0.0000 0.0000  8 Si 2.93, 4 Ir 2.94
Si1 0.0000 0.5000 0.5000  4 K 2.93, 4 Ir 2.93, 4 Si 2.94
Si2 0.5000 0.0000 0.5000  4 K 2.93, 4 Ir 2.93, 4 Si 2.94
Ir1 0.5000 0.5000 0.0000  8 Si 2.93, 4 K 2.94

Values from the calculation:
Its energy above the most stable polymorph in this dataset is 1.1421 eV per atom. The calculation puts the uncorrected formation energy at 859 meV per atom. As for the calculated density: 6.7 g/cm3. For the size of the total moment, the calculation gives 0.00 μB/f.u. As for the space group: P4/mmm (123).

***

This record from Alexandria describes an optimized crystal structure of K2SiIr. The functional is PBE.

a = 3.9426 Å, b = 3.9426 Å, c = 10.8786 Å
α = 90.00°, β = 90.00°, γ = 90.00°
With the nearest neighbours (Å) after each atom.
Fractional positions:
K1 0.0000 0.5000 0.2500  4 K 2.79
K2 0.0000 0.5000 0.7500  4 K 2.79
K3 0.5000 0.0000 0.2500  4 K 2.79
K4 0.5000 0.0000 0.7500  4 K 2.79
Si1 0.0000 0.0000 0.0000  4 Ir 2.79
Si2 0.5000 0.5000 0.5000  4 Ir 2.79
Ir1 0.0000 0.0000 0.5000  4 Si 2.79
Ir2 0.5000 0.5000 0.0000  4 Si 2.79

Values from the calculation:
The calculation puts the uncorrected formation energy at 687 meV per atom. As for the calculated density: 5.9 g/cm3. For the size of the total moment, the calculation gives 0.00 μB/f.u. As for the space group: I4/mmm (139).

***

This record from Alexandria describes an optimized crystal structure of KSi2Ir. The functional is PBE.

a = 6.4145 Å, b = 6.4145 Å, c = 6.4145 Å
α = 90.00°, β = 90.00°, γ = 90.00°
With the nearest neighbours (Å) after each atom.
Fractional positions:
K1 0.0000 0.0000 0.0000  8 Si 2.78
K2 0.0000 0.5000 0.5000  8 Si 2.78
K3 0.5000 0.0000 0.5000  8 Si 2.78
K4 0.5000 0.5000 0.0000  8 Si 2.78
Si1 0.2500 0.2500 0.2500  4 K 2.78, 4 Ir 2.78
Si2 0.2500 0.2500 0.7500  4 K 2.78, 4 Ir 2.78
Si3 0.2500 0.7500 0.2500  4 K 2.78, 4 Ir 2.78
Si4 0.2500 0.7500 0.7500  4 K 2.78, 4 Ir 2.78
Si5 0.7500 0.2500 0.2500  4 K 2.78, 4 Ir 2.78
Si6 0.7500 0.2500 0.7500  4 K 2.78, 4 Ir 2.78
Si7 0.7500 0.7500 0.2500  4 K 2.78, 4 Ir 2.78
Si8 0.7500 0.7500 0.7500  4 K 2.78, 4 Ir 2.78
Ir1 0.0000 0.0000 0.5000  8 Si 2.78
Ir2 0.0000 0.5000 0.0000  8 Si 2.78
Ir3 0.5000 0.0000 0.0000  8 Si 2.78
Ir4 0.5000 0.5000 0.5000  8 Si 2.78

Values from the calculation:
Its energy above the most stable polymorph in this dataset is 0.7203 eV per atom. The calculation puts the uncorrected formation energy at 437 meV per atom. As for the calculated density: 7.2 g/cm3. For the size of the total moment, the calculation gives 0.00 μB/f.u. As for the space group: Fm-3m (225).

***

This record from Alexandria describes an optimized crystal structure of KSi2Ir. The functional is PBE.

a = 6.5624 Å, b = 6.5624 Å, c = 6.5624 Å
α = 90.00°, β = 90.00°, γ = 90.00°
With the nearest neighbours (Å) after each atom.
Fractional positions:
K1 0.0000 0.0000 0.0000  4 Si 2.84, 4 Ir 2.84
K2 0.0000 0.5000 0.5000  4 Ir 2.84, 4 Si 2.84
K3 0.5000 0.0000 0.5000  4 Ir 2.84, 4 Si 2.84
K4 0.5000 0.5000 0.0000  4 Si 2.84, 4 Ir 2.84
Si1 0.0000 0.0000 0.5000  4 Ir 2.84, 4 Si 2.84
Si2 0.0000 0.5000 0.0000  4 Ir 2.84, 4 Si 2.84
Si3 0.2500 0.2500 0.2500  4 K 2.84, 4 Si 2.84
Si4 0.2500 0.7500 0.7500  4 K 2.84, 4 Si 2.84
Si5 0.5000 0.0000 0.0000  4 Ir 2.84, 4 Si 2.84
Si6 0.5000 0.5000 0.5000  4 Ir 2.84, 4 Si 2.84
Si7 0.7500 0.2500 0.7500  4 K 2.84, 4 Si 2.84
Si8 0.7500 0.7500 0.2500  4 K 2.84, 4 Si 2.84
Ir1 0.2500 0.2500 0.7500  4 K 2.84, 4 Si 2.84
Ir2 0.2500 0.7500 0.2500  4 K 2.84, 4 Si 2.84
Ir3 0.7500 0.2500 0.2500  4 K 2.84, 4 Si 2.84
Ir4 0.7500 0.7500 0.7500  4 Si 2.84, 4 K 2.84

Values from the calculation:
Its energy above the most stable polymorph in this dataset is 1.1633 eV per atom. The calculation puts the uncorrected formation energy at 880 meV per atom. As for the calculated density: 6.8 g/cm3. For the size of the total moment, the calculation gives 0.00 μB/f.u. As for the space group: F-43m (216).

***

This record from Alexandria describes an optimized crystal structure of KSiIr. The functional is PBE.

a = 3.1006 Å, b = 3.1006 Å, c = 12.7628 Å
α = 90.00°, β = 90.00°, γ = 90.00°
With the nearest neighbours (Å) after each atom.
Fractional positions:
K1 0.0000 0.0000 0.0000  4 K 3.10, 4 Si 3.42, 4 Ir 3.46
K2 0.5000 0.5000 0.5000  4 K 3.10, 4 Si 3.42, 4 Ir 3.46
Si1 0.0000 0.0000 0.2943  4 Ir 2.44
Si2 0.5000 0.5000 0.7943  4 Ir 2.44
Ir1 0.0000 0.0000 0.7098  4 Si 2.44
Ir2 0.5000 0.5000 0.2098  4 Si 2.44

Values from the calculation:
Its energy above the most stable polymorph in this dataset is 0.3723 eV per atom. The calculation puts the uncorrected formation energy at -66 meV per atom. As for the calculated density: 7.0 g/cm3. For the size of the total moment, the calculation gives 0.00 μB/f.u. As for the space group: I4mm (107).